Version one
## Ca2GaHg2 (PBE)

Data for crystalline Ca2GaHg2 at its relaxed geometry.

Cell and atoms, written as CIF:
```
data_Ca2GaHg2
_space_group_name_H-M_alt 'I 4/m m m'
_space_group_IT_number 139
_space_group_name_Hall '-I 4 2'
_cell_length_a 4.135
_cell_length_b 4.135
_cell_length_c 17.151
_cell_angle_alpha 90.00
_cell_angle_beta 90.00
_cell_angle_gamma 90.00
loop_
_atom_site_label
_atom_site_type_symbol
_atom_site_fract_x
_atom_site_fract_y
_atom_site_fract_z
_atom_site_occupancy
Ca1 Ca 0.000 0.000 0.099 1
Ga1 Ga 0.000 0.000 0.500 1
Hg1 Hg 0.000 0.500 0.250 1
```

---

Version two
## Ca2GaHg2 (PBE)

Data for crystalline Ca2GaHg2 at its relaxed geometry.

Cell and atoms, written as CIF:
```
data_Ca2GaHg2
_space_group_name_H-M_alt 'P 4/m b m'
_space_group_IT_number 127
_space_group_name_Hall '-P 4 2ab'
_cell_length_a 8.525
_cell_length_b 8.525
_cell_length_c 3.887
_cell_angle_alpha 90.00
_cell_angle_beta 90.00
_cell_angle_gamma 90.00
loop_
_atom_site_label
_atom_site_type_symbol
_atom_site_fract_x
_atom_site_fract_y
_atom_site_fract_z
_atom_site_occupancy
Ca1 Ca 0.159 0.341 0.000 1
Ga1 Ga 0.000 0.000 0.000 1
Hg1 Hg 0.138 0.638 0.500 1
```

---

Least stable of them? version one.

---

Version one
## Ca2GaHg2 (PBE)

Data for crystalline Ca2GaHg2 at its relaxed geometry.

Cell and atoms, written as CIF:
```
data_Ca2GaHg2
_space_group_name_H-M_alt 'P 4/m b m'
_space_group_IT_number 127
_space_group_name_Hall '-P 4 2ab'
_cell_length_a 7.888
_cell_length_b 7.888
_cell_length_c 4.324
_cell_angle_alpha 90.00
_cell_angle_beta 90.00
_cell_angle_gamma 90.00
loop_
_atom_site_label
_atom_site_type_symbol
_atom_site_fract_x
_atom_site_fract_y
_atom_site_fract_z
_atom_site_occupancy
Ca1 Ca 0.171 0.329 0.000 1
Ga1 Ga 0.000 0.000 0.500 1
Hg1 Hg 0.134 0.634 0.500 1
```

---

Version two
## Ca2GaHg2 (PBE)

Data for crystalline Ca2GaHg2 at its relaxed geometry.

Cell and atoms, written as CIF:
```
data_Ca2GaHg2
_space_group_name_H-M_alt 'I 4/m m m'
_space_group_IT_number 139
_space_group_name_Hall '-I 4 2'
_cell_length_a 6.045
_cell_length_b 6.045
_cell_length_c 8.317
_cell_angle_alpha 90.00
_cell_angle_beta 90.00
_cell_angle_gamma 90.00
loop_
_atom_site_label
_atom_site_type_symbol
_atom_site_fract_x
_atom_site_fract_y
_atom_site_fract_z
_atom_site_occupancy
Ca1 Ca 0.000 0.500 0.250 1
Ga1 Ga 0.000 0.000 0.000 1
Hg1 Hg 0.000 0.000 0.333 1
```

---

Version three
## Ca2GaHg2 (PBE)

Data for crystalline Ca2GaHg2 at its relaxed geometry.

Cell and atoms, written as CIF:
```
data_Ca2GaHg2
_space_group_name_H-M_alt 'C 1 2/m 1'
_space_group_IT_number 12
_space_group_name_Hall '-C 2y'
_cell_length_a 11.355
_cell_length_b 4.573
_cell_length_c 11.264
_cell_angle_alpha 90.00
_cell_angle_beta 115.60
_cell_angle_gamma 90.00
loop_
_atom_site_label
_atom_site_type_symbol
_atom_site_fract_x
_atom_site_fract_y
_atom_site_fract_z
_atom_site_occupancy
Ca1 Ca 0.015 0.000 0.342 1
Ca2 Ca 0.187 0.000 0.108 1
Ga1 Ga 0.219 0.500 0.337 1
Hg1 Hg 0.029 0.500 0.881 1
Hg2 Hg 0.148 0.500 0.568 1
```

---

Least stable of them? version two.

---

Version one
## CaHoGaHg (PBE)

Data for crystalline CaHoGaHg at its relaxed geometry.

Cell and atoms, written as CIF:
```
data_CaHoGaHg
_space_group_name_H-M_alt 'P 4 m m'
_space_group_IT_number 99
_space_group_name_Hall 'P 4 -2'
_cell_length_a 3.604
_cell_length_b 3.604
_cell_length_c 7.648
_cell_angle_alpha 90.00
_cell_angle_beta 90.00
_cell_angle_gamma 90.00
loop_
_atom_site_label
_atom_site_type_symbol
_atom_site_fract_x
_atom_site_fract_y
_atom_site_fract_z
_atom_site_occupancy
Ca1 Ca 0.000 0.000 0.000 1
Ho1 Ho 0.000 0.000 0.478 1
Ga1 Ga 0.500 0.500 0.252 1
Hg1 Hg 0.500 0.500 0.733 1
```

---

Version two
## CaHoGaHg (PBE)

Data for crystalline CaHoGaHg at its relaxed geometry.

Cell and atoms, written as CIF:
```
data_CaHoGaHg
_space_group_name_H-M_alt 'F -4 3 m'
_space_group_IT_number 216
_space_group_name_Hall 'F -4 2 3'
_cell_length_a 7.359
_cell_length_b 7.359
_cell_length_c 7.359
_cell_angle_alpha 90.00
_cell_angle_beta 90.00
_cell_angle_gamma 90.00
loop_
_atom_site_label
_atom_site_type_symbol
_atom_site_fract_x
_atom_site_fract_y
_atom_site_fract_z
_atom_site_occupancy
Ca1 Ca 0.000 0.000 0.000 1
Ho1 Ho 0.000 0.000 0.500 1
Ga1 Ga 0.250 0.250 0.250 1
Hg1 Hg 0.250 0.250 0.750 1
```

---

Least stable of them? version two.

---

Version one
## CaGa2NiHg (PBE)

Data for crystalline CaGa2NiHg at its relaxed geometry.

Cell and atoms, written as CIF:
```
data_CaGa2NiHg
_space_group_name_H-M_alt 'P 4/m m m'
_space_group_IT_number 123
_space_group_name_Hall '-P 4 2'
_cell_length_a 4.614
_cell_length_b 4.614
_cell_length_c 5.055
_cell_angle_alpha 90.00
_cell_angle_beta 90.00
_cell_angle_gamma 90.00
loop_
_atom_site_label
_atom_site_type_symbol
_atom_site_fract_x
_atom_site_fract_y
_atom_site_fract_z
_atom_site_occupancy
Ca1 Ca 0.000 0.000 0.000 1
Ga1 Ga 0.000 0.500 0.500 1
Ni1 Ni 0.500 0.500 0.500 1
Hg1 Hg 0.500 0.500 0.000 1
```

---

Version two
## CaGa2NiHg (PBE)

Data for crystalline CaGa2NiHg at its relaxed geometry.

Cell and atoms, written as CIF:
```
data_CaGa2NiHg
_space_group_name_H-M_alt 'P 4/m m m'
_space_group_IT_number 123
_space_group_name_Hall '-P 4 2'
_cell_length_a 4.609
_cell_length_b 4.609
_cell_length_c 5.388
_cell_angle_alpha 90.00
_cell_angle_beta 90.00
_cell_angle_gamma 90.00
loop_
_atom_site_label
_atom_site_type_symbol
_atom_site_fract_x
_atom_site_fract_y
_atom_site_fract_z
_atom_site_occupancy
Ca1 Ca 0.000 0.000 0.000 1
Ga1 Ga 0.000 0.500 0.500 1
Ni1 Ni 0.000 0.000 0.500 1
Hg1 Hg 0.500 0.500 0.000 1
```

---

Least stable of them? version one.